[1]
First-principles (GGA-PBE) data for SrCa2Sb2 after structural relaxation, as listed in Alexandria.

POSCAR file:
```
SrCa2Sb2
1.0
8.917 0.000 0.000
0.000 8.917 0.000
0.000 0.000 4.169
Sr Ca Sb
2 4 4
Direct
0.000 0.000 0.000
0.500 0.500 0.000
0.137 0.363 0.500
0.363 0.863 0.500
0.637 0.137 0.500
0.863 0.637 0.500
0.164 0.664 0.000
0.336 0.164 0.000
0.664 0.836 0.000
0.836 0.336 0.000
```

Calculated values
N(E_F)   1.63 states/eV/cell
Energy above the lowest structure with this stoichiometry   159.8 meV per atom
Crystal system   tetragonal
Uncorrected energy   -3.662 eV per atom

=====

[2]
First-principles (GGA-PBE) data for SrCa2Sb2 after structural relaxation, as listed in Alexandria.

POSCAR file:
```
SrCa2Sb2
1.0
-2.963 2.963 5.358
2.963 -2.963 5.358
2.963 2.963 -5.358
Sr Ca Sb
1 2 2
Direct
0.000 0.000 0.000
0.327 0.327 0.000
0.673 0.673 0.000
0.250 0.750 0.500
0.750 0.250 0.500
```

Calculated values
N(E_F)   1.65 states/eV/cell
Energy above the lowest structure with this stoichiometry   449.0 meV per atom
Crystal system   tetragonal
Uncorrected energy   -3.373 eV per atom

=====

[3]
First-principles (GGA-PBE) data for SrCa8Sb6 after structural relaxation, as listed in Alexandria.

POSCAR file:
```
SrCa8Sb6
1.0
4.462 2.576 7.632
-4.462 2.576 7.632
0.000 -5.152 7.632
Sr Ca Sb
1 8 6
Direct
0.000 0.000 0.000
0.116 0.446 0.783
0.217 0.884 0.554
0.333 0.333 0.333
0.446 0.783 0.116
0.554 0.217 0.884
0.667 0.667 0.667
0.783 0.116 0.446
0.884 0.554 0.217
0.075 0.739 0.414
0.261 0.586 0.925
0.414 0.075 0.739
0.586 0.925 0.261
0.739 0.414 0.075
0.925 0.261 0.586
```

Calculated values
Crystal system   trigonal
Uncorrected energy   -3.829 eV per atom

=====

[4]
First-principles (GGA-PBE) data for Sr2CaSb2 after structural relaxation, as listed in Alexandria.

POSCAR file:
```
Sr2CaSb2
1.0
9.338 0.000 0.000
0.000 9.338 0.000
0.000 0.000 3.950
Sr Ca Sb
4 2 4
Direct
0.128 0.372 0.000
0.372 0.872 0.000
0.628 0.128 0.000
0.872 0.628 0.000
0.000 0.000 0.000
0.500 0.500 0.000
0.175 0.675 0.500
0.325 0.175 0.500
0.675 0.825 0.500
0.825 0.325 0.500
```

Calculated values
N(E_F)   5.54 states/eV/cell
Energy above the lowest structure with this stoichiometry   248.6 meV per atom
Crystal system   tetragonal
Uncorrected energy   -3.408 eV per atom

=====

[5]
First-principles (GGA-PBE) data for Sr2CaSb2 after structural relaxation, as listed in Alexandria.

POSCAR file:
```
Sr2CaSb2
1.0
13.225 0.000 0.000
0.000 8.083 0.000
0.000 0.000 8.190
Sr Ca Sb
8 4 8
Direct
0.052 0.250 0.000
0.052 0.250 0.500
0.447 0.250 0.000
0.447 0.250 0.500
0.553 0.750 0.000
0.553 0.750 0.500
0.948 0.750 0.000
0.948 0.750 0.500
0.250 0.750 0.000
0.250 0.750 0.500
0.750 0.250 0.000
0.750 0.250 0.500
0.112 0.555 0.250
0.112 0.945 0.750
0.388 0.555 0.750
0.388 0.945 0.250
0.612 0.055 0.750
0.612 0.445 0.250
0.888 0.055 0.250
0.888 0.445 0.750
```

Calculated values
Energy above the lowest structure with this stoichiometry   0.0 meV per atom
Crystal system   orthorhombic
Uncorrected energy   -3.656 eV per atom

=====

[6]
First-principles (GGA-PBE) data for SrCaSb2Te after structural relaxation, as listed in Alexandria.

POSCAR file:
```
SrCaSb2Te
1.0
5.739 0.000 0.000
0.000 5.739 0.000
0.000 0.000 5.818
Sr Ca Sb Te
1 1 2 1
Direct
0.000 0.000 0.000
0.500 0.500 0.500
0.000 0.500 0.500
0.500 0.000 0.500
0.500 0.500 0.000
```

Calculated values
N(E_F)   5.75 states/eV/cell
Energy above the lowest structure with this stoichiometry   0.0 meV per atom
Crystal system   tetragonal
Uncorrected energy   -3.291 eV per atom